# 1
This record from Alexandria via LeMat-Bulk describes Pr6GeS2Br3 after structural relaxation. The functional is GGA-PBE.

Cell: 4.239 8.750 9.814 Å, 108.24 102.47 90.00°
Fractional positions:
Pr1 0.324 0.446 0.648
Pr2 0.676 0.554 0.352
Pr3 0.340 0.882 0.679
Pr4 0.014 0.236 0.028
Pr5 0.986 0.764 0.972
Pr6 0.660 0.118 0.321
S1 0.831 0.663 0.661
S2 0.169 0.337 0.339
Ge1 0.500 0.000 0.000
Br1 0.500 0.500 0.000
Br2 0.837 0.166 0.673
Br3 0.163 0.834 0.327

Properties
Space group   No. 12
Volume   337 Å³/f.u.
Energy relative to the elements, uncorrected   -1.470 eV per atom
Total magnetization   0.0000 μB per atom

***

# 2
This record from Alexandria via LeMat-Bulk describes PmCdSnGe after structural relaxation. The functional is GGA-PBE.

Cell: 4.371 4.901 4.460 Å, 90.00 90.00 90.00°
Fractional positions:
Sn1 0.000 0.500 0.500
Pm1 0.500 0.000 0.500
Cd1 0.500 0.500 0.000
Ge1 0.000 0.000 0.000

Properties
Space group   No. 47
Volume   96 Å³/f.u.
Total magnetization   0.0000 μB per atom
DFT formation energy   -0.459 eV/atom

***

# 3
This record from Alexandria via LeMat-Bulk describes LaCoMo3 after structural relaxation. The functional is GGA-PBE.

Cell: 4.640 4.640 4.640 Å, 90.00 90.00 90.00°
Fractional positions:
Mo1 0.500 0.000 0.000
Mo2 0.000 0.500 0.000
Mo3 0.000 0.000 0.500
La1 0.500 0.500 0.500
Co1 0.000 0.000 0.000

Properties
Space group   No. 221
Volume   100 Å³/f.u.
Total magnetization   0.3038 μB per atom
DFT formation energy   0.917 eV/atom

***

# 4
This record from Alexandria via LeMat-Bulk describes La2FeRhN after structural relaxation. The functional is GGA-PBE.

Cell: 5.223 5.223 3.580 Å, 90.00 90.00 90.00°
Fractional positions:
La1 0.000 0.500 0.000
La2 0.500 0.000 0.000
Rh1 0.500 0.500 0.500
Fe1 0.000 0.000 0.500
N1 0.000 0.000 0.000

Properties
Space group   No. 123
Volume   98 Å³/f.u.
Energy relative to the elements, uncorrected   -0.698 eV per atom
Total magnetization   0.1649 μB per atom

***

# 5
This record from Alexandria via LeMat-Bulk describes ZnN after structural relaxation. The functional is GGA-PBE.

Cell: 7.274 7.274 3.980 Å, 90.00 90.00 90.00°
Fractional positions:
N1 0.846 0.664 0.500
N2 0.346 0.164 0.000
N3 0.336 0.846 0.500
N4 0.664 0.154 0.500
N5 0.164 0.654 0.000
N6 0.154 0.336 0.500
N7 0.836 0.346 0.000
N8 0.654 0.836 0.000
Zn1 0.201 0.605 0.500
Zn2 0.799 0.395 0.500
Zn3 0.299 0.895 0.000
Zn4 0.701 0.105 0.000
Zn5 0.605 0.799 0.500
Zn6 0.105 0.299 0.000
Zn7 0.895 0.701 0.000
Zn8 0.395 0.201 0.500

Properties
Space group   No. 87
Volume   26 Å³/f.u.
Energy relative to the elements, uncorrected   0.700 eV per atom
Total magnetization   0.0001 μB per atom

***

# 6
This record from Alexandria via LeMat-Bulk describes TiSi3Cl after structural relaxation. The functional is GGA-PBE.

Cell: 4.907 4.907 4.907 Å, 90.00 90.00 90.00°
Fractional positions:
Si1 0.000 0.500 0.000
Si2 0.000 0.000 0.500
Si3 0.500 0.000 0.000
Cl1 0.500 0.500 0.500
Ti1 0.000 0.000 0.000

Properties
Space group   No. 221
Volume   118 Å³/f.u.
Energy relative to the elements, uncorrected   0.639 eV per atom
Total magnetization   0.0000 μB per atom

***

# 7
This record from Alexandria via LeMat-Bulk describes La2Tb5NdTm after structural relaxation. The functional is GGA-PBE.

Cell: 8.698 8.698 10.060 Å, 115.62 115.62 90.00°
Fractional positions:
Tb1 0.358 0.858 0.283
Tb2 0.075 0.575 0.717
Tb3 0.925 0.425 0.283
Tb4 0.642 0.142 0.717
Tb5 0.575 0.642 0.717
Tb6 0.425 0.358 0.283
Tb7 0.142 0.075 0.717
Tb8 0.000 0.000 0.000
Tb9 0.500 0.500 0.000
Tb10 0.858 0.925 0.283
La1 0.382 0.882 0.000
La2 0.118 0.382 0.000
La3 0.882 0.618 0.000
La4 0.618 0.118 0.000
Tm1 0.750 0.250 0.500
Tm2 0.250 0.750 0.500
Nd1 0.750 0.750 0.500
Nd2 0.250 0.250 0.500

Properties
Space group   No. 140
Volume   301 Å³/f.u.
Total magnetization   0.0000 μB per atom
DFT formation energy   0.257 eV/atom

***

# 8
This record from Alexandria via LeMat-Bulk describes CaB2F8 after structural relaxation. The functional is GGA-PBE.

Cell: 9.044 9.393 13.576 Å, 90.00 90.00 90.00°
Fractional positions:
F1 0.902 0.695 0.616
F2 0.718 0.569 0.939
F3 0.715 0.247 0.679
F4 0.414 0.141 0.012
F5 0.250 0.987 0.774
F6 0.218 0.931 0.939
F7 0.080 0.872 0.616
F8 0.521 0.085 0.669
F9 0.586 0.859 0.988
F10 0.094 0.687 0.505
F11 0.282 0.431 0.061
F12 0.086 0.641 0.988
F13 0.586 0.359 0.512
F14 0.098 0.805 0.116
F15 0.750 0.013 0.226
F16 0.920 0.128 0.384
F17 0.406 0.687 0.005
F18 0.414 0.641 0.488
F19 0.285 0.253 0.179
F20 0.906 0.313 0.495
F21 0.785 0.747 0.321
F22 0.479 0.915 0.331
F23 0.080 0.372 0.884
F24 0.098 0.305 0.384
F25 0.914 0.859 0.488
F26 0.594 0.313 0.995
F27 0.715 0.747 0.821
F28 0.750 0.513 0.274
F29 0.420 0.872 0.116
F30 0.920 0.628 0.116
F31 0.906 0.813 0.005
F32 0.521 0.585 0.831
F33 0.215 0.753 0.821
F34 0.750 0.513 0.774
F35 0.406 0.187 0.495
F36 0.420 0.372 0.384
F37 0.782 0.069 0.061
F38 0.094 0.187 0.995
F39 0.479 0.415 0.169
F40 0.750 0.013 0.726
F41 0.021 0.915 0.831
F42 0.402 0.805 0.616
F43 0.718 0.069 0.561
F44 0.785 0.247 0.179
F45 0.250 0.487 0.226
F46 0.215 0.253 0.679
F47 0.782 0.569 0.439
F48 0.598 0.695 0.116
F49 0.402 0.305 0.884
F50 0.914 0.359 0.012
F51 0.979 0.585 0.331
F52 0.250 0.987 0.274
F53 0.979 0.085 0.169
F54 0.580 0.128 0.884
F55 0.902 0.195 0.884
F56 0.285 0.753 0.321
F57 0.282 0.931 0.439
F58 0.580 0.628 0.616
F59 0.594 0.813 0.505
F60 0.086 0.141 0.512
F61 0.598 0.195 0.384
F62 0.021 0.415 0.669
F63 0.218 0.431 0.561
F64 0.250 0.487 0.726
B1 0.824 0.603 0.342
B2 0.504 0.279 0.443
B3 0.496 0.721 0.557
B4 0.676 0.103 0.658
B5 0.996 0.779 0.557
B6 0.504 0.779 0.057
B7 0.824 0.103 0.158
B8 0.324 0.397 0.158
B9 0.996 0.279 0.943
B10 0.176 0.397 0.658
B11 0.176 0.897 0.842
B12 0.676 0.603 0.842
B13 0.004 0.221 0.443
B14 0.496 0.221 0.943
B15 0.004 0.721 0.057
B16 0.324 0.897 0.342
Ca1 0.719 0.967 0.396
Ca2 0.219 0.533 0.396
Ca3 0.781 0.467 0.604
Ca4 0.281 0.033 0.604
Ca5 0.219 0.033 0.104
Ca6 0.719 0.467 0.104
Ca7 0.781 0.967 0.896
Ca8 0.281 0.533 0.896

Properties
Space group   No. 61
Volume   144 Å³/f.u.
Energy relative to the elements, uncorrected   -3.212 eV per atom
Total magnetization   0.0000 μB per atom